Arrangement one

The following is a DFT calculation (PBE) of CsMnSb3 after structural relaxation.

The structure in POSCAR format:
```
CsMnSb3
1.0
6.122 0.000 0.000
0.000 6.122 0.000
0.000 0.000 6.122
Cs Mn Sb
1 1 3
Cartesian
0.000 0.000 0.000
3.061 3.061 3.061
0.000 0.000 3.061
0.000 3.061 0.000
3.061 0.000 0.000
```

Computed properties:
Its total moment is 5.07 Bohr magnetons per cell.

Arrangement two

The following is a DFT calculation (PBE) of CsMnSb3 after structural relaxation.

The structure in POSCAR format:
```
CsMnSb3
1.0
5.385 0.000 0.000
0.000 5.385 0.000
0.000 0.000 5.385
Cs Mn Sb
1 1 3
Cartesian
0.000 0.000 0.000
2.693 2.693 2.693
0.000 2.693 2.693
2.693 0.000 2.693
2.693 2.693 0.000
```

Computed properties:
Its total moment is 4.03 Bohr magnetons per cell.

Relative to the most stable one, in meV/atom, the structures come out at arrangement one 1712; arrangement two 0.

Arrangement one

The following is a DFT calculation (PBE) of CsScMn3 after structural relaxation.

The structure in POSCAR format:
```
CsScMn3
1.0
5.056 0.000 0.000
0.000 5.056 0.000
0.000 0.000 5.056
Cs Sc Mn
1 1 3
Cartesian
0.000 0.000 0.000
2.528 2.528 2.528
0.000 0.000 2.528
0.000 2.528 0.000
2.528 0.000 0.000
```

Computed properties:
Its total moment is 10.45 Bohr magnetons per cell.

Arrangement two

The following is a DFT calculation (PBE) of CsScMn3 after structural relaxation.

The structure in POSCAR format:
```
CsScMn3
1.0
5.370 0.000 0.000
0.000 5.370 0.000
0.000 0.000 5.370
Cs Sc Mn
1 1 3
Cartesian
0.000 0.000 0.000
2.685 2.685 2.685
0.000 2.685 2.685
2.685 0.000 2.685
2.685 2.685 0.000
```

Computed properties:
Its total moment is 11.18 Bohr magnetons per cell.

Relative to the most stable one, in meV/atom, the structures come out at arrangement one 832; arrangement two 0.

Arrangement one

The following is a DFT calculation (PBE) of CsTbMnSe3 after structural relaxation.

The structure in POSCAR format:
```
CsTbMnSe3
1.0
9.692 0.000 0.000
0.000 4.279 0.000
-3.763 0.000 9.639
Cs Tb Mn Se
2 2 2 6
Cartesian
1.185 1.070 2.344
4.744 3.209 7.295
-0.024 3.209 8.317
5.953 1.070 1.322
-1.468 1.070 5.894
7.397 3.209 3.745
-2.033 1.070 8.292
-0.162 3.209 5.267
4.026 3.209 1.497
1.903 1.070 8.142
6.090 1.070 4.372
7.962 3.209 1.347
```

Computed properties:
Its total moment is 10.00 Bohr magnetons per cell.

Arrangement two

The following is a DFT calculation (PBE) of CsTbMnSe3 after structural relaxation.

The structure in POSCAR format:
```
CsTbMnSe3
1.0
2.123 -8.117 0.000
2.123 8.117 0.000
0.000 0.000 11.130
Cs Tb Mn Se
2 2 2 6
Cartesian
2.123 4.188 8.347
2.123 -4.188 2.782
2.123 0.000 0.000
2.123 0.000 5.565
2.123 7.523 2.782
2.123 -7.523 8.347
2.123 6.237 0.655
2.123 6.237 4.910
2.123 0.889 2.782
2.123 -0.889 8.347
2.123 -6.237 6.219
2.123 -6.237 10.475
```

Computed properties:
Its total moment is 10.00 Bohr magnetons per cell.

Relative to the most stable one, in meV/atom, the structures come out at arrangement one 31; arrangement two 0.

Arrangement one

The following is a DFT calculation (PBE) of CsSrMn3 after structural relaxation.

The structure in POSCAR format:
```
CsSrMn3
1.0
5.974 0.000 0.000
0.000 5.974 0.000
0.000 0.000 5.974
Cs Sr Mn
1 1 3
Cartesian
0.000 0.000 0.000
2.987 2.987 2.987
0.000 2.987 2.987
2.987 0.000 2.987
2.987 2.987 0.000
```

Computed properties:
Its total moment is 12.15 Bohr magnetons per cell.

Arrangement two

The following is a DFT calculation (PBE) of CsSrMn3 after structural relaxation.

The structure in POSCAR format:
```
CsSrMn3
1.0
5.596 0.000 0.000
0.000 5.596 0.000
0.000 0.000 5.596
Cs Sr Mn
1 1 3
Cartesian
0.000 0.000 0.000
2.798 2.798 2.798
0.000 0.000 2.798
0.000 2.798 0.000
2.798 0.000 0.000
```

Computed properties:
Its total moment is 12.12 Bohr magnetons per cell.

Relative to the most stable one, in meV/atom, the structures come out at arrangement one 0; arrangement two 223.

Arrangement one

The following is a DFT calculation (PBE) of CsMn3Te after structural relaxation.

The structure in POSCAR format:
```
CsMn3Te
1.0
5.179 0.000 0.000
0.000 5.179 0.000
0.000 0.000 5.179
Cs Mn Te
1 3 1
Cartesian
0.000 0.000 0.000
0.000 2.589 2.589
2.589 0.000 2.589
2.589 2.589 0.000
2.589 2.589 2.589
```

Computed properties:
Its total moment is 10.11 Bohr magnetons per cell.

Arrangement two

The following is a DFT calculation (PBE) of CsMn3Te after structural relaxation.

The structure in POSCAR format:
```
CsMn3Te
1.0
5.208 0.000 0.000
0.000 5.208 0.000
0.000 0.000 5.208
Cs Mn Te
1 3 1
Cartesian
0.000 0.000 0.000
0.000 0.000 2.604
0.000 2.604 0.000
2.604 0.000 0.000
2.604 2.604 2.604
```

Computed properties:
Its total moment is 11.92 Bohr magnetons per cell.

Relative to the most stable one, in meV/atom, the structures come out at arrangement one 0; arrangement two 1053.

Arrangement one

The following is a DFT calculation (PBE) of CsMn3Zn after structural relaxation.

The structure in POSCAR format:
```
CsMn3Zn
1.0
5.078 0.000 0.000
0.000 5.078 0.000
0.000 0.000 5.078
Cs Mn Zn
1 3 1
Cartesian
0.000 0.000 0.000
0.000 0.000 2.539
0.000 2.539 0.000
2.539 0.000 0.000
2.539 2.539 2.539
```

Computed properties:
Its total moment is 10.63 Bohr magnetons per cell.

Arrangement two

The following is a DFT calculation (PBE) of CsMn3Zn after structural relaxation.

The structure in POSCAR format:
```
CsMn3Zn
1.0
5.081 0.000 0.000
0.000 5.081 0.000
0.000 0.000 5.081
Cs Mn Zn
1 3 1
Cartesian
0.000 0.000 0.000
0.000 2.540 2.540
2.540 0.000 2.540
2.540 2.540 0.000
2.540 2.540 2.540
```

Computed properties:
Its total moment is 12.98 Bohr magnetons per cell.

Relative to the most stable one, in meV/atom, the structures come out at arrangement one 1295; arrangement two 0.

Arrangement one

The following is a DFT calculation (PBE) of CsZr3Mn after structural relaxation.

The structure in POSCAR format:
```
CsZr3Mn
1.0
5.206 0.000 0.000
0.000 5.206 0.000
0.000 0.000 5.206
Cs Zr Mn
1 3 1
Cartesian
0.000 0.000 0.000
0.000 0.000 2.603
0.000 2.603 0.000
2.603 0.000 0.000
2.603 2.603 2.603
```

Computed properties:
Its total moment is 0.97 Bohr magnetons per cell.

Arrangement two

The following is a DFT calculation (PBE) of CsZr3Mn after structural relaxation.

The structure in POSCAR format:
```
CsZr3Mn
1.0
5.089 0.000 0.000
0.000 5.089 0.000
0.000 0.000 5.089
Cs Zr Mn
1 3 1
Cartesian
0.000 0.000 0.000
0.000 2.544 2.544
2.544 0.000 2.544
2.544 2.544 0.000
2.544 2.544 2.544
```

Computed properties:
Its total moment is 0.00 Bohr magnetons per cell.

Relative to the most stable one, in meV/atom, the structures come out at arrangement one 1795; arrangement two 0.

Arrangement one

The following is a DFT calculation (PBE) of CsMo after structural relaxation.

The structure in POSCAR format:
```
CsMo
1.0
3.387 0.000 0.000
-0.863 6.993 0.000
-0.812 -2.428 6.568
Cs Mo
2 2
Cartesian
-0.395 0.539 2.065
2.108 4.026 4.503
0.454 3.961 0.649
1.259 0.605 5.919
```

Computed properties:
Its total moment is 0.00 Bohr magnetons per cell.

Arrangement two

The following is a DFT calculation (PBE) of CsMo after structural relaxation.

The structure in POSCAR format:
```
CsMo
1.0
0.000 4.027 4.027
4.027 0.000 4.027
4.027 4.027 0.000
Cs Mo
1 1
Cartesian
0.000 0.000 0.000
4.027 4.027 4.027
```

Computed properties:
Its total moment is 5.07 Bohr magnetons per cell.

Arrangement three

The following is a DFT calculation (PBE) of CsMo after structural relaxation.

The structure in POSCAR format:
```
CsMo
1.0
13.832 0.000 0.000
0.000 13.832 0.000
0.000 0.000 3.364
Cs Mo
8 8
Cartesian
1.370 11.023 0.000
2.809 1.370 0.000
4.436 5.204 1.682
5.204 9.396 1.682
8.627 4.436 1.682
9.396 8.627 1.682
11.023 12.462 0.000
12.462 2.809 0.000
0.796 5.697 0.000
1.359 7.358 1.682
5.697 13.036 0.000
6.474 1.359 1.682
7.358 12.473 1.682
8.135 0.796 0.000
12.473 6.474 1.682
13.036 8.135 0.000
```

Computed properties:
Its total moment is 1.07 Bohr magnetons per cell.

Relative to the most stable one, in meV/atom, the structures come out at arrangement one 239; arrangement two 1481; arrangement three 0.